Entry 1:
Here is a relaxed Na2TbMnTe4 crystal from the Alexandria database. Energies are from PBE-GGA.

## Properties
Formation energy (no corrections) in eV/atom: -0.840

CIF file:
```
data_Na2TbMnTe4
_space_group_name_H-M_alt 'P 1 2/m 1'
_space_group_IT_number 10
_space_group_name_Hall '-P 2y'
_cell_length_a 7.370
_cell_length_b 4.291
_cell_length_c 7.975
_cell_angle_alpha 90.00
_cell_angle_beta 107.99
_cell_angle_gamma 90.00
loop_
_atom_site_label
_atom_site_type_symbol
_atom_site_fract_x
_atom_site_fract_y
_atom_site_fract_z
Na1 Na 0.000 0.000 0.000
Na2 Na 0.500 0.500 0.000
Tb1 Tb 0.000 0.500 0.500
Mn1 Mn 0.500 0.000 0.500
Te1 Te 0.263 0.000 0.725
Te2 Te 0.281 0.500 0.285
```


Entry 2:
Here is a relaxed Na3Tb2MnTe6 crystal from the Alexandria database. Energies are from PBE-GGA.

## Properties
Formation energy (no corrections) in eV/atom: -0.990

CIF file:
```
data_Na3Tb2MnTe6
_space_group_name_H-M_alt 'C 1 2/m 1'
_space_group_IT_number 12
_space_group_name_Hall '-C 2y'
_cell_length_a 7.501
_cell_length_b 13.071
_cell_length_c 7.943
_cell_angle_alpha 90.00
_cell_angle_beta 108.38
_cell_angle_gamma 90.00
loop_
_atom_site_label
_atom_site_type_symbol
_atom_site_fract_x
_atom_site_fract_y
_atom_site_fract_z
Na1 Na 0.000 0.000 0.000
Na2 Na 0.000 0.328 0.000
Tb1 Tb 0.000 0.167 0.500
Mn1 Mn 0.000 0.500 0.500
Te1 Te 0.233 0.343 0.726
Te2 Te 0.233 0.500 0.280
```


Entry 3:
Here is a relaxed NaMnTc3 crystal from the Alexandria database. Energies are from PBE-GGA.

## Properties
Total DFT energy (no corrections) in eV per formula unit: -27.30

CIF file:
```
data_NaMnTc3
_space_group_name_H-M_alt 'P m -3 m'
_space_group_IT_number 221
_space_group_name_Hall '-P 4 2 3'
_cell_length_a 4.359
_cell_length_b 4.359
_cell_length_c 4.359
_cell_angle_alpha 90.00
_cell_angle_beta 90.00
_cell_angle_gamma 90.00
loop_
_atom_site_label
_atom_site_type_symbol
_atom_site_fract_x
_atom_site_fract_y
_atom_site_fract_z
Na1 Na 0.000 0.000 0.000
Mn1 Mn 0.500 0.500 0.500
Tc1 Tc 0.000 0.000 0.500
```


- Number 2 is which compound?
  Na3Tb2MnTe6